Compound: BeV2F
Source: Alexandria
Functional: PBE with a Hubbard U
Structure: relaxed

Computed properties:
DFT total energy in eV/atom: -4.876
ΔE to the lowest computed polymorph in eV/f.u.: 0.00

a = 6.053 Å, b = 6.053 Å, c = 6.606 Å
α = 90.00°, β = 90.00°, γ = 90.00°
Space group I-42d (No. 122)
One atom of each set of equivalent atoms:
Be: 0.000 0.000 0.000 [4 per cell]
V: 0.211 0.750 0.625 [8 per cell]
F: 0.000 0.000 0.500 [4 per cell]


Compound: Be2VF
Source: Alexandria
Functional: PBE with a Hubbard U
Structure: relaxed

Computed properties:
DFT total energy in eV/atom: -4.212
ΔE to the lowest computed polymorph in eV/f.u.: 0.00

a = 6.628 Å, b = 6.628 Å, c = 4.296 Å
α = 90.00°, β = 90.00°, γ = 90.00°
Space group I-42d (No. 122)
One atom of each set of equivalent atoms:
Be: 0.201 0.250 0.125 [8 per cell]
V: 0.000 0.000 0.500 [4 per cell]
F: 0.000 0.000 0.000 [4 per cell]


Compound: Be2VF8
Source: Alexandria
Functional: PBE with a Hubbard U
Structure: relaxed

Computed properties:
DFT total energy in eV/atom: -5.512

a = 10.538 Å, b = 5.605 Å, c = 4.769 Å
α = 90.00°, β = 96.20°, γ = 90.00°
Space group C2/m (No. 12)
One atom of each set of equivalent atoms:
Be: 0.181 0.000 0.146 [4 per cell]
V: 0.000 0.000 0.500 [2 per cell]
F: 0.103 0.208 0.303 [8 per cell]
F: 0.120 0.000 0.814 [4 per cell]
F: 0.183 0.500 0.823 [4 per cell]


Compound: BeVF2
Source: Alexandria
Functional: PBE with a Hubbard U
Structure: relaxed

Computed properties:
DFT total energy in eV/atom: -4.990
ΔE to the lowest computed polymorph in eV/f.u.: 0.11

a = 2.5507 Å, b = 2.5507 Å, c = 29.7952 Å
α = 90.00°, β = 90.00°, γ = 120.00°
Space group R-3m (No. 166, hexagonal axes)
One atom of each set of equivalent atoms:
Be: 0.0000 0.0000 0.0000 [3 per cell]
V: 0.0000 0.0000 0.5000 [3 per cell]
F: 0.0000 0.0000 0.3642 [6 per cell]


Compound: BeVF2
Source: Alexandria
Functional: PBE with a Hubbard U
Structure: relaxed

Computed properties:
DFT total energy in eV/atom: -4.226
ΔE to the lowest computed polymorph in eV/f.u.: 3.16

a = 5.747 Å, b = 5.747 Å, c = 5.747 Å
α = 90.00°, β = 90.00°, γ = 90.00°
Space group Fm-3m (No. 225)
One atom of each set of equivalent atoms:
Be: 0.000 0.000 0.000 [4 per cell]
V: 0.000 0.000 0.500 [4 per cell]
F: 0.250 0.250 0.250 [8 per cell]


Compound: BeVF2
Source: Alexandria
Functional: PBE with a Hubbard U
Structure: relaxed

Computed properties:
DFT total energy in eV/atom: -5.016
ΔE to the lowest computed polymorph in eV/f.u.: 0.00

a = 5.260 Å, b = 5.260 Å, c = 7.694 Å
α = 90.00°, β = 90.00°, γ = 90.00°
Space group I4_1/amd (No. 141, origin choice 2)
One atom of each set of equivalent atoms:
Be: 0.000 0.250 0.375 [4 per cell]
V: 0.000 0.250 0.875 [4 per cell]
F: 0.000 0.000 0.500 [8 per cell]


Compound: Be2VF6
Source: Alexandria
Functional: PBE with a Hubbard U
Structure: relaxed

Computed properties:
DFT total energy in eV/atom: -5.950

a = 9.780 Å, b = 9.013 Å, c = 5.257 Å
α = 90.00°, β = 108.88°, γ = 90.00°
Space group C2/c (No. 15)
One atom of each set of equivalent atoms:
Be: 0.197 0.081 0.229 [8 per cell]
V: 0.000 0.394 0.250 [4 per cell]
F: 0.128 0.428 0.662 [8 per cell]
F: 0.144 0.241 0.190 [8 per cell]
F: 0.148 0.006 0.456 [8 per cell]


Compound: BeVF2
Source: Alexandria
Functional: PBE with a Hubbard U
Structure: relaxed

Computed properties:
DFT total energy in eV/atom: -4.752
ΔE to the lowest computed polymorph in eV/f.u.: 1.06

a = 2.7617 Å, b = 2.7617 Å, c = 23.1838 Å
α = 90.00°, β = 90.00°, γ = 120.00°
Space group R-3m (No. 166, hexagonal axes)
One atom of each set of equivalent atoms:
Be: 0.0000 0.0000 0.0000 [3 per cell]
V: 0.0000 0.0000 0.5000 [3 per cell]
F: 0.0000 0.0000 0.1076 [6 per cell]